An optimized crystal structure of Ac4Sn3Hg5, computed with GGA-PBE.

* N(E_F): 10.62 states/eV/cell

Unit cell a=8.729 b=8.729 c=10.726 alpha=115.72 beta=115.72 gamma=35.05
Fractional coordinates of all 12 atoms:
Ac  0.028  0.028  0.333
Ac  0.250  0.250  0.777
Ac  0.750  0.750  0.223
Ac  0.972  0.972  0.667
Sn  0.000  0.000  0.000
Sn  0.367  0.367  0.120
Sn  0.633  0.633  0.880
Hg  0.246  0.246  0.434
Hg  0.408  0.408  0.406
Hg  0.500  0.500  0.000
Hg  0.592  0.592  0.594
Hg  0.754  0.754  0.566

An optimized crystal structure of Ac3SnHg, computed with GGA-PBE.

* N(E_F): 9.02 states/eV/cell

Unit cell a=5.720 b=5.720 c=13.654 alpha=101.95 beta=101.95 gamma=59.96
Fractional coordinates of all 10 atoms:
Ac  0.086  0.086  0.257
Ac  0.194  0.194  0.581
Ac  0.367  0.367  0.098
Ac  0.633  0.633  0.902
Ac  0.806  0.806  0.419
Ac  0.914  0.914  0.743
Sn  0.280  0.280  0.842
Sn  0.720  0.720  0.158
Hg  0.461  0.461  0.382
Hg  0.539  0.539  0.618

no.,energy (eV/atom),spin magnetization (μB/atom)
1,-2.745,0.0000
2,-3.748,0.0000